(1)
Entry from the Alexandria database: a geometry-optimized SrBeZnPd2 structure (PBE).

Results
Size of the total moment: 0.0 μB/f.u.
E_form: -0.321 eV per atom

Cell lengths 4.5411, 4.5411, 4.4731 Å; angles 90.00, 90.00, 90.00 degrees
Element x y z (fractional)
Sr (0.0000, 0.0000, 0.0000)
Be (0.5000, 0.5000, 0.5000)
Zn (0.5000, 0.5000, 0.0000)
Pd (0.0000, 0.5000, 0.5000)
Pd (0.5000, 0.0000, 0.5000)

=====

(2)
Entry from the Alexandria database: a geometry-optimized TaBePd3 structure (PBE).

Results
Relative energy among the computed polymorphs: 0.0000 eV per atom
Size of the total moment: 0.0 μB/f.u.
E_form: 0.099 eV per atom

Cell lengths 4.2223, 4.2223, 4.2223 Å; angles 90.00, 90.00, 90.00 degrees
Element x y z (fractional)
Ta (0.0000, 0.0000, 0.0000)
Be (0.5000, 0.5000, 0.5000)
Pd (0.0000, 0.5000, 0.5000)
Pd (0.5000, 0.0000, 0.5000)
Pd (0.5000, 0.5000, 0.0000)

=====

(3)
Entry from the Alexandria database: a geometry-optimized Ta4Be2Pd structure (PBE).

Results
Size of the total moment: 0.0 μB/f.u.
E_form: 1.261 eV per atom

Cell lengths 6.6708, 6.6708, 6.6708 Å; angles 138.02, 138.02, 60.88 degrees
Element x y z (fractional)
Ta (0.0000, 0.5000, 0.5000)
Ta (0.2240, 0.2240, 0.0000)
Ta (0.5000, 0.0000, 0.5000)
Ta (0.7760, 0.7760, 0.0000)
Be (0.4186, 0.4186, 0.0000)
Be (0.5814, 0.5814, 0.0000)
Pd (0.0000, 0.0000, 0.0000)

=====

(4)
Entry from the Alexandria database: a geometry-optimized TaBe3Pd structure (PBE).

Results
Relative energy among the computed polymorphs: 1.1251 eV per atom
Size of the total moment: 0.0 μB/f.u.
E_form: 1.618 eV per atom

Cell lengths 4.3767, 4.3767, 4.3767 Å; angles 90.00, 90.00, 90.00 degrees
Element x y z (fractional)
Ta (0.0000, 0.0000, 0.0000)
Be (0.0000, 0.0000, 0.5000)
Be (0.0000, 0.5000, 0.0000)
Be (0.5000, 0.0000, 0.0000)
Pd (0.5000, 0.5000, 0.5000)

=====

(5)
Entry from the Alexandria database: a geometry-optimized TaBePd structure (PBE).

Results
Relative energy among the computed polymorphs: 0.0000 eV per atom
Size of the total moment: 0.0 μB/f.u.
E_form: -0.293 eV per atom

Cell lengths 5.5454, 5.5454, 5.5454 Å; angles 150.56, 150.56, 42.13 degrees
Element x y z (fractional)
Ta (0.0000, 0.0000, 0.0000)
Be (0.6670, 0.6670, 0.0000)
Pd (0.2955, 0.2955, 0.0000)

=====

(6)
Entry from the Alexandria database: a geometry-optimized Ta2BePd structure (PBE).

Results
Size of the total moment: 0.0 μB/f.u.
E_form: 0.522 eV per atom

Cell lengths 9.8368, 9.8368, 9.8368 Å; angles 157.96, 157.96, 31.36 degrees
Element x y z (fractional)
Ta (0.1143, 0.6250, 0.9893)
Ta (0.3750, 0.3643, 0.4893)
Ta (0.6357, 0.1250, 0.0107)
Ta (0.8750, 0.8857, 0.5107)
Be (0.0000, 0.0000, 0.0000)
Be (0.7500, 0.2500, 0.5000)
Pd (0.2500, 0.7500, 0.5000)
Pd (0.5000, 0.5000, 0.0000)

=====

(7)
Entry from the Alexandria database: a geometry-optimized TaBePd3 structure (PBE).

Results
Relative energy among the computed polymorphs: 1.1761 eV per atom
Size of the total moment: 0.0 μB/f.u.
E_form: 1.275 eV per atom

Cell lengths 4.8206, 4.8206, 4.8206 Å; angles 90.00, 90.00, 90.00 degrees
Element x y z (fractional)
Ta (0.0000, 0.0000, 0.0000)
Be (0.5000, 0.5000, 0.5000)
Pd (0.0000, 0.0000, 0.5000)
Pd (0.0000, 0.5000, 0.0000)
Pd (0.5000, 0.0000, 0.0000)

=====

(8)
Entry from the Alexandria database: a geometry-optimized TaBe3Pd structure (PBE).

Results
Relative energy among the computed polymorphs: 0.0000 eV per atom
Size of the total moment: 0.0 μB/f.u.
E_form: 0.493 eV per atom

Cell lengths 4.0672, 4.0672, 4.0672 Å; angles 90.00, 90.00, 90.00 degrees
Element x y z (fractional)
Ta (0.0000, 0.0000, 0.0000)
Be (0.0000, 0.5000, 0.5000)
Be (0.5000, 0.0000, 0.5000)
Be (0.5000, 0.5000, 0.0000)
Pd (0.5000, 0.5000, 0.5000)

=====

(9)
Entry from the Alexandria database: a geometry-optimized TaBe4Pd5 structure (PBE).

Results
Size of the total moment: 0.0 μB/f.u.
E_form: -0.550 eV per atom

Cell lengths 2.8227, 2.8227, 15.4663 Å; angles 90.00, 90.00, 90.00 degrees
Element x y z (fractional)
Ta (0.0000, 0.0000, 0.0000)
Be (0.0000, 0.0000, 0.2226)
Be (0.0000, 0.0000, 0.4085)
Be (0.0000, 0.0000, 0.5915)
Be (0.0000, 0.0000, 0.7774)
Pd (0.5000, 0.5000, 0.1336)
Pd (0.5000, 0.5000, 0.3175)
Pd (0.5000, 0.5000, 0.5000)
Pd (0.5000, 0.5000, 0.6825)
Pd (0.5000, 0.5000, 0.8664)

=====

(10)
Entry from the Alexandria database: a geometry-optimized TaBePd2 structure (PBE).

Results
Size of the total moment: 0.0 μB/f.u.
E_form: 0.126 eV per atom

Cell lengths 8.9964, 8.9964, 8.9964 Å; angles 155.52, 155.52, 34.89 degrees
Element x y z (fractional)
Ta (0.0000, 0.0000, 0.0000)
Ta (0.7500, 0.2500, 0.5000)
Be (0.2500, 0.7500, 0.5000)
Be (0.5000, 0.5000, 0.0000)
Pd (0.1436, 0.6250, 0.0186)
Pd (0.3750, 0.3936, 0.5186)
Pd (0.6064, 0.1250, 0.9814)
Pd (0.8750, 0.8564, 0.4814)

=====

(11)
Entry from the Alexandria database: a geometry-optimized TaBe2Pd3 structure (PBE).

Results
Size of the total moment: 0.0 μB/f.u.
E_form: -0.512 eV per atom

Cell lengths 2.8097, 2.8097, 9.8758 Å; angles 90.00, 90.00, 90.00 degrees
Element x y z (fractional)
Ta (0.0000, 0.0000, 0.0000)
Be (0.0000, 0.0000, 0.3510)
Be (0.0000, 0.0000, 0.6490)
Pd (0.5000, 0.5000, 0.2101)
Pd (0.5000, 0.5000, 0.5000)
Pd (0.5000, 0.5000, 0.7899)

=====

(12)
Entry from the Alexandria database: a geometry-optimized TaBePd structure (PBE).

Results
Relative energy among the computed polymorphs: 0.0703 eV per atom
Size of the total moment: 0.0 μB/f.u.
E_form: -0.223 eV per atom

Cell lengths 5.9258, 5.9258, 6.0173 Å; angles 90.00, 90.00, 127.74 degrees
Element x y z (fractional)
Ta (0.1941, 0.8059, 0.9195)
Ta (0.3059, 0.6941, 0.4195)
Ta (0.6941, 0.3059, 0.5805)
Ta (0.8059, 0.1941, 0.0805)
Be (0.0925, 0.9075, 0.5638)
Be (0.4075, 0.5925, 0.0638)
Be (0.5925, 0.4075, 0.9362)
Be (0.9075, 0.0925, 0.4362)
Pd (0.1913, 0.3087, 0.7500)
Pd (0.3087, 0.1913, 0.2500)
Pd (0.6913, 0.8087, 0.7500)
Pd (0.8087, 0.6913, 0.2500)

=====

(13)
Entry from the Alexandria database: a geometry-optimized TaBePd2 structure (PBE).

Results
Size of the total moment: 0.0 μB/f.u.
E_form: -0.460 eV per atom

Cell lengths 2.8180, 2.8180, 6.9796 Å; angles 90.00, 90.00, 90.00 degrees
Element x y z (fractional)
Ta (0.0000, 0.0000, 0.0000)
Be (0.0000, 0.0000, 0.5000)
Pd (0.5000, 0.5000, 0.2950)
Pd (0.5000, 0.5000, 0.7050)

=====

(14)
Entry from the Alexandria database: a geometry-optimized TbBe3Pd10 structure (PBE).

Results
Size of the total moment: 0.0 μB/f.u.
E_form: -0.507 eV per atom

Cell lengths 8.3965, 8.3965, 8.3965 Å; angles 60.00, 60.00, 60.00 degrees
Element x y z (fractional)
Tb (0.2500, 0.2500, 0.2500)
Tb (0.7500, 0.7500, 0.7500)
Be (0.2285, 0.2285, 0.7715)
Be (0.2285, 0.7715, 0.2285)
Be (0.2285, 0.7715, 0.7715)
Be (0.7715, 0.2285, 0.2285)
Be (0.7715, 0.2285, 0.7715)
Be (0.7715, 0.7715, 0.2285)
Pd (0.1171, 0.1171, 0.1171)
Pd (0.1171, 0.1171, 0.6488)
Pd (0.1171, 0.6488, 0.1171)
Pd (0.1629, 0.5000, 0.5000)
Pd (0.1629, 0.5000, 0.8371)
Pd (0.1629, 0.8371, 0.5000)
Pd (0.3512, 0.8829, 0.8829)
Pd (0.5000, 0.1629, 0.5000)
Pd (0.5000, 0.1629, 0.8371)
Pd (0.5000, 0.5000, 0.1629)
Pd (0.5000, 0.5000, 0.8371)
Pd (0.5000, 0.8371, 0.1629)
Pd (0.5000, 0.8371, 0.5000)
Pd (0.6488, 0.1171, 0.1171)
Pd (0.8371, 0.1629, 0.5000)
Pd (0.8371, 0.5000, 0.1629)
Pd (0.8371, 0.5000, 0.5000)
Pd (0.8829, 0.3512, 0.8829)
Pd (0.8829, 0.8829, 0.3512)
Pd (0.8829, 0.8829, 0.8829)

=====

(15)
Entry from the Alexandria database: a geometry-optimized Tb3Be6Pd20 structure (PBE).

Results
Size of the total moment: 0.0 μB/f.u.
E_form: -0.652 eV per atom

Cell lengths 8.4810, 8.4810, 8.4810 Å; angles 60.00, 60.00, 60.00 degrees
Element x y z (fractional)
Tb (0.0000, 0.0000, 0.0000)
Tb (0.2500, 0.2500, 0.2500)
Tb (0.7500, 0.7500, 0.7500)
Be (0.2722, 0.2722, 0.7278)
Be (0.2722, 0.7278, 0.2722)
Be (0.2722, 0.7278, 0.7278)
Be (0.7278, 0.2722, 0.2722)
Be (0.7278, 0.2722, 0.7278)
Be (0.7278, 0.7278, 0.2722)
Pd (0.0000, 0.0000, 0.3413)
Pd (0.0000, 0.0000, 0.6587)
Pd (0.0000, 0.3413, 0.0000)
Pd (0.0000, 0.3413, 0.6587)
Pd (0.0000, 0.6587, 0.0000)
Pd (0.0000, 0.6587, 0.3413)
Pd (0.1494, 0.6169, 0.6169)
Pd (0.3413, 0.0000, 0.0000)
Pd (0.3413, 0.0000, 0.6587)
Pd (0.3413, 0.6587, 0.0000)
Pd (0.3831, 0.3831, 0.3831)
Pd (0.3831, 0.3831, 0.8506)
Pd (0.3831, 0.8506, 0.3831)
Pd (0.6169, 0.1494, 0.6169)
Pd (0.6169, 0.6169, 0.1494)
Pd (0.6169, 0.6169, 0.6169)
Pd (0.6587, 0.0000, 0.0000)
Pd (0.6587, 0.0000, 0.3413)
Pd (0.6587, 0.3413, 0.0000)
Pd (0.8506, 0.3831, 0.3831)

=====

(16)
Entry from the Alexandria database: a geometry-optimized Tb3Be2Pd5 structure (PBE).

Results
Size of the total moment: 0.0 μB/f.u.
E_form: -0.776 eV per atom

Cell lengths 9.8639, 9.8639, 3.6166 Å; angles 90.00, 90.00, 90.00 degrees
Element x y z (fractional)
Tb (0.0000, 0.0000, 0.0000)
Tb (0.1776, 0.3224, 0.0000)
Tb (0.3224, 0.8224, 0.0000)
Tb (0.5000, 0.5000, 0.0000)
Tb (0.6776, 0.1776, 0.0000)
Tb (0.8224, 0.6776, 0.0000)
Be (0.1146, 0.6146, 0.0000)
Be (0.3854, 0.1146, 0.0000)
Be (0.6146, 0.8854, 0.0000)
Be (0.8854, 0.3854, 0.0000)
Pd (0.0000, 0.5000, 0.5000)
Pd (0.0705, 0.7748, 0.5000)
Pd (0.2252, 0.0705, 0.5000)
Pd (0.2748, 0.5705, 0.5000)
Pd (0.4295, 0.2748, 0.5000)
Pd (0.5000, 0.0000, 0.5000)
Pd (0.5705, 0.7252, 0.5000)
Pd (0.7252, 0.4295, 0.5000)
Pd (0.7748, 0.9295, 0.5000)
Pd (0.9295, 0.2252, 0.5000)

=====

(17)
Entry from the Alexandria database: a geometry-optimized TbBe2Pd3 structure (PBE).

Results
Size of the total moment: 0.0 μB/f.u.
E_form: -0.580 eV per atom

Cell lengths 9.0988, 9.0988, 3.8577 Å; angles 90.00, 90.00, 120.00 degrees
Element x y z (fractional)
Tb (0.0000, 0.0000, 0.0000)
Tb (0.3333, 0.6667, 0.5000)
Tb (0.6667, 0.3333, 0.5000)
Be (0.1820, 0.3639, 0.0000)
Be (0.1820, 0.8180, 0.0000)
Be (0.3639, 0.1820, 0.0000)
Be (0.6361, 0.8180, 0.0000)
Be (0.8180, 0.1820, 0.0000)
Be (0.8180, 0.6361, 0.0000)
Pd (0.0000, 0.2932, 0.5000)
Pd (0.0000, 0.5000, 0.0000)
Pd (0.0000, 0.7068, 0.5000)
Pd (0.2932, 0.0000, 0.5000)
Pd (0.2932, 0.2932, 0.5000)
Pd (0.5000, 0.0000, 0.0000)
Pd (0.5000, 0.5000, 0.0000)
Pd (0.7068, 0.0000, 0.5000)
Pd (0.7068, 0.7068, 0.5000)

=====

(18)
Entry from the Alexandria database: a geometry-optimized TbBe2Pd2 structure (PBE).

Results
Size of the total moment: 0.0 μB/f.u.
E_form: -0.582 eV per atom

Cell lengths 5.5845, 5.5845, 5.5845 Å; angles 138.22, 138.22, 60.57 degrees
Element x y z (fractional)
Tb (0.0000, 0.0000, 0.0000)
Be (0.3794, 0.3794, 0.0000)
Be (0.6206, 0.6206, 0.0000)
Pd (0.2500, 0.7500, 0.5000)
Pd (0.7500, 0.2500, 0.5000)

=====

(19)
Entry from the Alexandria database: a geometry-optimized Tb2BePd structure (PBE).

Results
Relative energy among the computed polymorphs: 0.0000 eV per atom
Size of the total moment: 0.0 μB/f.u.
E_form: -0.384 eV per atom

Cell lengths 3.5053, 3.5053, 6.8475 Å; angles 90.00, 90.00, 90.00 degrees
Element x y z (fractional)
Tb (0.0000, 0.0000, 0.2438)
Tb (0.0000, 0.0000, 0.7562)
Be (0.5000, 0.5000, 0.0000)
Pd (0.5000, 0.5000, 0.5000)

=====

(20)
Entry from the Alexandria database: a geometry-optimized Tb2BePd structure (PBE).

Results
Relative energy among the computed polymorphs: 0.0423 eV per atom
Size of the total moment: 0.0 μB/f.u.
E_form: -0.342 eV per atom

Cell lengths 4.9366, 4.9366, 4.9366 Å; angles 60.00, 60.00, 60.00 degrees
Element x y z (fractional)
Tb (0.2500, 0.2500, 0.2500)
Tb (0.7500, 0.7500, 0.7500)
Be (0.0000, 0.0000, 0.0000)
Pd (0.5000, 0.5000, 0.5000)